Material: Rb2VRe3O12
Method: DFT, GGA+U
State: optimized geometry

POSCAR file:
```
Rb2VRe3O12
1.0
3.664 2.115 5.943
-3.664 2.115 5.943
0.000 -4.231 5.943
Rb V Re O
2 1 3 12
direct
0.124 0.124 0.124
0.876 0.876 0.876
0.500 0.500 0.500
0.000 0.500 0.500
0.500 0.000 0.500
0.500 0.500 0.000
0.182 0.558 0.558
0.186 0.186 0.563
0.186 0.563 0.186
0.437 0.814 0.814
0.442 0.442 0.818
0.442 0.818 0.442
0.558 0.182 0.558
0.558 0.558 0.182
0.563 0.186 0.186
0.814 0.437 0.814
0.814 0.814 0.437
0.818 0.442 0.442
```

=====

Material: RbV2ReO8
Method: DFT, GGA+U
State: optimized geometry

POSCAR file:
```
RbV2ReO8
1.0
4.725 -2.835 0.000
4.725 2.835 0.000
-0.250 0.000 8.153
Rb V Re O
1 2 1 8
direct
0.000 0.000 0.000
0.351 0.351 0.709
0.649 0.649 0.291
0.000 0.000 0.500
0.185 0.708 0.654
0.190 0.190 0.593
0.292 0.815 0.346
0.324 0.324 0.909
0.676 0.676 0.091
0.708 0.185 0.654
0.810 0.810 0.407
0.815 0.292 0.346
```

=====

So what do the calculations give for DFT total energy? Going down the list: -7.632, -7.465 eV/atom.